Record 1
The following is a DFT calculation (meta-GGA SCAN) of Cr2SbPt at its PBEsol-relaxed geometry.

Theoretical density: 11.9 g/cm3
Spin magnetization: 6.53 μB/f.u.
Raw formation energy: -0.067 eV per atom

```
data_Cr2SbPt
_cell_length_a 3.9300
_cell_length_b 3.9300
_cell_length_c 7.5763
_cell_angle_alpha 90.00
_cell_angle_beta 90.00
_cell_angle_gamma 90.00
_space_group_name_H-M_alt 'I 4/m m m'
_space_group_IT_number 139
_space_group_name_Hall '-I 4 2'
loop_
_atom_site_label
_atom_site_type_symbol
_atom_site_fract_x
_atom_site_fract_y
_atom_site_fract_z
Cr1 Cr 0.0000 0.5000 0.2500
Sb1 Sb 0.0000 0.0000 0.0000
Pt1 Pt 0.0000 0.0000 0.5000
```

Record 2
The following is a DFT calculation (meta-GGA SCAN) of MoAs2Ir at its PBEsol-relaxed geometry.

Energy relative to the elements: 0.254 eV/atom
Theoretical density: 8.7 g/cm3
Spin magnetization: 1.09 μB/f.u.
Energy above the lowest structure with this stoichiometry: 0.165 eV/atom

```
data_MoAs2Ir
_cell_length_a 5.6548
_cell_length_b 5.6548
_cell_length_c 10.4844
_cell_angle_alpha 90.00
_cell_angle_beta 90.00
_cell_angle_gamma 90.00
_space_group_name_H-M_alt 'I -4 2 d'
_space_group_IT_number 122
_space_group_name_Hall 'I -4 2bw'
loop_
_atom_site_label
_atom_site_type_symbol
_atom_site_fract_x
_atom_site_fract_y
_atom_site_fract_z
Mo1 Mo 0.0000 0.0000 0.0000
As1 As 0.2399 0.2500 0.6250
Ir1 Ir 0.0000 0.0000 0.5000
```

Record 3
The following is a DFT calculation (meta-GGA SCAN) of MnBi2Ru at its PBEsol-relaxed geometry.

Energy relative to the elements: 0.358 eV/atom
Theoretical density: 12.1 g/cm3
Spin magnetization: 5.08 μB/f.u.

```
data_MnBi2Ru
_cell_length_a 6.8112
_cell_length_b 6.8112
_cell_length_c 6.8112
_cell_angle_alpha 90.00
_cell_angle_beta 90.00
_cell_angle_gamma 90.00
_space_group_name_H-M_alt 'F m -3 m'
_space_group_IT_number 225
_space_group_name_Hall '-F 4 2 3'
loop_
_atom_site_label
_atom_site_type_symbol
_atom_site_fract_x
_atom_site_fract_y
_atom_site_fract_z
Mn1 Mn 0.0000 0.0000 0.0000
Bi1 Bi 0.2500 0.2500 0.2500
Ru1 Ru 0.0000 0.0000 0.5000
```

Record 4
The following is a DFT calculation (meta-GGA SCAN) of NaGaS2N at its PBEsol-relaxed geometry.

Theoretical density: 2.6 g/cm3
Spin magnetization: 5.01 μB/f.u.
Raw formation energy: 1.118 eV per atom

```
data_NaGaS2N
_cell_length_a 4.9994
_cell_length_b 4.9994
_cell_length_c 4.3505
_cell_angle_alpha 90.00
_cell_angle_beta 90.00
_cell_angle_gamma 90.00
_space_group_name_H-M_alt 'P 4/m m m'
_space_group_IT_number 123
_space_group_name_Hall '-P 4 2'
loop_
_atom_site_label
_atom_site_type_symbol
_atom_site_fract_x
_atom_site_fract_y
_atom_site_fract_z
Na1 Na 0.0000 0.0000 0.0000
Ga1 Ga 0.5000 0.5000 0.5000
S1 S 0.0000 0.5000 0.0000
N1 N 0.0000 0.0000 0.5000
```

Record 5
The following is a DFT calculation (meta-GGA SCAN) of NaInAsSe2 at its PBEsol-relaxed geometry.

Theoretical density: 4.2 g/cm3
Spin magnetization: 1.55 μB/f.u.
Raw formation energy: 0.075 eV per atom

```
data_NaInAsSe2
_cell_length_a 5.3375
_cell_length_b 5.3375
_cell_length_c 5.1554
_cell_angle_alpha 90.00
_cell_angle_beta 90.00
_cell_angle_gamma 90.00
_space_group_name_H-M_alt 'P 4/m m m'
_space_group_IT_number 123
_space_group_name_Hall '-P 4 2'
loop_
_atom_site_label
_atom_site_type_symbol
_atom_site_fract_x
_atom_site_fract_y
_atom_site_fract_z
Na1 Na 0.0000 0.0000 0.0000
In1 In 0.5000 0.5000 0.5000
As1 As 0.5000 0.5000 0.0000
Se1 Se 0.0000 0.5000 0.5000
```

Record 6
The following is a DFT calculation (meta-GGA SCAN) of TlNi2F at its PBEsol-relaxed geometry.

Theoretical density: 10.7 g/cm3
Spin magnetization: 0.00 μB/f.u.
Raw formation energy: 0.069 eV per atom

```
data_TlNi2F
_cell_length_a 5.9592
_cell_length_b 5.9592
_cell_length_c 5.9592
_cell_angle_alpha 90.00
_cell_angle_beta 90.00
_cell_angle_gamma 90.00
_space_group_name_H-M_alt 'F m -3 m'
_space_group_IT_number 225
_space_group_name_Hall '-F 4 2 3'
loop_
_atom_site_label
_atom_site_type_symbol
_atom_site_fract_x
_atom_site_fract_y
_atom_site_fract_z
Tl1 Tl 0.0000 0.0000 0.0000
Ni1 Ni 0.2500 0.2500 0.2500
F1 F 0.0000 0.0000 0.5000
```

Record 7
The following is a DFT calculation (meta-GGA SCAN) of NpInRh2 at its PBEsol-relaxed geometry.

Energy relative to the elements: -0.287 eV/atom
Theoretical density: 13.1 g/cm3
Spin magnetization: 3.59 μB/f.u.

```
data_NpInRh2
_cell_length_a 6.5611
_cell_length_b 6.5611
_cell_length_c 6.5611
_cell_angle_alpha 90.00
_cell_angle_beta 90.00
_cell_angle_gamma 90.00
_space_group_name_H-M_alt 'F m -3 m'
_space_group_IT_number 225
_space_group_name_Hall '-F 4 2 3'
loop_
_atom_site_label
_atom_site_type_symbol
_atom_site_fract_x
_atom_site_fract_y
_atom_site_fract_z
Np1 Np 0.0000 0.0000 0.0000
In1 In 0.0000 0.0000 0.5000
Rh1 Rh 0.2500 0.2500 0.2500
```

Record 8
The following is a DFT calculation (meta-GGA SCAN) of Cd2P at its PBEsol-relaxed geometry.

Energy relative to the elements: 0.372 eV/atom
Theoretical density: 7.2 g/cm3
Spin magnetization: 0.00 μB/f.u.
Energy above the lowest structure with this stoichiometry: 0.212 eV/atom

```
data_Cd2P
_cell_length_a 4.6631
_cell_length_b 4.6631
_cell_length_c 3.1437
_cell_angle_alpha 90.00
_cell_angle_beta 90.00
_cell_angle_gamma 120.00
_space_group_name_H-M_alt 'P -3 m 1'
_space_group_IT_number 164
_space_group_name_Hall '-P 3 2"'
loop_
_atom_site_label
_atom_site_type_symbol
_atom_site_fract_x
_atom_site_fract_y
_atom_site_fract_z
Cd1 Cd 0.3333 0.6667 0.2442
P1 P 0.0000 0.0000 0.5000
```